No. 1
## Ac2Y2In3 (PBE)

Data for Ac2Y2In3 after structural relaxation.

a b c (Å): 4.722 26.277 3.597
angles (deg): 90.00 90.00 90.00
Space group Cmmm (No. 65)
Unique sites:
Ac 0.000 0.076 0.000 x4
Y 0.000 0.206 0.000 x4
In 0.000 0.339 0.500 x4
In 0.000 0.500 0.500 x2

---

No. 2
## Ho3MgCu8 (PBE)

Data for Ho3MgCu8 after structural relaxation.

a b c (Å): 5.1789 5.1789 25.2805
angles (deg): 90.00 90.00 120.00
Space group R3m (No. 160, hexagonal axes)
Unique sites:
Ho 0.0000 0.0000 0.0000 x3
Ho 0.0000 0.0000 0.1260 x3
Ho 0.0000 0.0000 0.6162 x3
Mg 0.0000 0.0000 0.4929 x3
Cu 0.0000 0.0000 0.3081 x3
Cu 0.0000 0.0000 0.8096 x3
Cu 0.0010 0.5005 0.0595 x9
Cu 0.0056 0.5028 0.5583 x9

---

No. 3
## LaDyLuZn (PBE)

Data for LaDyLuZn after structural relaxation.

a b c (Å): 7.634 7.634 7.634
angles (deg): 90.00 90.00 90.00
Space group F-43m (No. 216)
Unique sites:
La 0.000 0.000 0.000 x4
Dy 0.000 0.000 0.500 x4
Lu 0.250 0.250 0.750 x4
Zn 0.250 0.250 0.250 x4

---

No. 4
## BaAsIr2 (PBE)

Data for BaAsIr2 after structural relaxation.

a b c (Å): 6.090 10.214 2.981
angles (deg): 90.00 119.23 90.00
Space group C2/m (No. 12)
Unique sites:
Ba 0.000 0.000 0.000 x2
As 0.000 0.500 0.000 x2
Ir 0.250 0.250 0.500 x4

---

No. 5
## IrPdW2 (PBE)

Data for IrPdW2 after structural relaxation.

a b c (Å): 2.7850 2.7850 28.8676
angles (deg): 90.00 90.00 120.00
Space group R-3m (No. 166, hexagonal axes)
Unique sites:
Ir 0.0000 0.0000 0.0000 x3
Pd 0.0000 0.0000 0.5000 x3
W 0.0000 0.0000 0.0868 x6

---

No. 6
## HoThCu (PBE)

Data for HoThCu after structural relaxation.

a b c (Å): 3.6740 3.6740 20.6423
angles (deg): 90.00 90.00 120.00
Space group R3m (No. 160, hexagonal axes)
Unique sites:
Ho 0.0000 0.0000 0.0000 x3
Th 0.0000 0.0000 0.8052 x3
Cu 0.0000 0.0000 0.5725 x3

---

No. 7
## LiNdEu2 (PBE)

Data for LiNdEu2 after structural relaxation.

a b c (Å): 8.284 8.284 8.284
angles (deg): 90.00 90.00 90.00
Space group Fm-3m (No. 225)
Unique sites:
Li 0.000 0.000 0.000 x4
Nd 0.000 0.000 0.500 x4
Eu 0.250 0.250 0.250 x8

---

No. 8
## AlCo2OsI (PBE)

Data for AlCo2OsI after structural relaxation.

a b c (Å): 4.484 4.484 5.215
angles (deg): 90.00 90.00 90.00
Space group P4/mmm (No. 123)
Unique sites:
Al 0.000 0.000 0.000 x1
Co 0.000 0.500 0.500 x2
Os 0.500 0.500 0.000 x1
I 0.000 0.000 0.500 x1

---

No. 9
## CdGa2Co2 (PBE)

Data for CdGa2Co2 after structural relaxation.

a b c (Å): 3.732 3.732 10.922
angles (deg): 90.00 90.00 90.00
Space group I4/mmm (No. 139)
Unique sites:
Cd 0.000 0.000 0.000 x2
Ga 0.000 0.500 0.250 x4
Co 0.000 0.000 0.395 x4

---

No. 10
## Dy7Y2Ho2 (PBE)

Data for Dy7Y2Ho2 after structural relaxation.

a b c (Å): 11.236 11.388 6.028
angles (deg): 90.00 113.33 90.00
Space group C2/m (No. 12)
Unique sites:
Dy 0.000 0.000 0.000 x2
Dy 0.175 0.235 0.175 x8
Dy 0.234 0.000 0.585 x4
Y 0.000 0.216 0.500 x4
Ho 0.087 0.500 0.803 x4

---

No. 11
## VCd2Ge (PBE)

Data for VCd2Ge after structural relaxation.

a b c (Å): 7.868 7.868 5.331
angles (deg): 90.00 90.00 90.00
Space group I-42d (No. 122)
Unique sites:
V 0.000 0.000 0.000 x4
Cd 0.231 0.250 0.625 x8
Ge 0.000 0.000 0.500 x4

---

No. 12
## PuTaMnIr (PBE)

Data for PuTaMnIr after structural relaxation.

a b c (Å): 6.463 6.463 6.463
angles (deg): 90.00 90.00 90.00
Space group F-43m (No. 216)
Unique sites:
Pu 0.000 0.000 0.000 x4
Ta 0.250 0.250 0.250 x4
Mn 0.250 0.250 0.750 x4
Ir 0.000 0.000 0.500 x4

---

| no. | E (eV per atom) |
| --- | --- |
| 1 | -4.48 |
| 2 | -4.22 |
| 3 | -3.82 |
| 4 | -5.44 |
| 5 | -9.50 |
| 6 | -5.30 |
| 7 | -6.60 |
| 8 | -4.06 |
| 9 | -4.15 |
| 10 | -4.78 |
| 11 | -3.42 |
| 12 | -10.98 |